Record 1
LaHoTm3Th | PBE | optimized geometry

Cell lengths 7.9470, 5.0451, 10.1015 Å; angles 90.00, 109.06, 90.00 degrees
Fractional positions:
La (0.1689, 0.2500, 0.2922)
La (0.8311, 0.7500, 0.7078)
Ho (0.4987, 0.2500, 0.6290)
Ho (0.5013, 0.7500, 0.3710)
Tm (0.1695, 0.7500, 0.5448)
Tm (0.1747, 0.7500, 0.0418)
Tm (0.1763, 0.2500, 0.7937)
Tm (0.8237, 0.7500, 0.2063)
Tm (0.8253, 0.2500, 0.9582)
Tm (0.8305, 0.2500, 0.4552)
Th (0.4981, 0.7500, 0.8785)
Th (0.5019, 0.2500, 0.1215)

Computed properties:
Energy relative to the elements in eV per atom: 0.038
Total DFT energy (no corrections) in eV/atom: -5.019
Magnetization in μB/cell: 0.00
Density of states at the Fermi level in states/eV per cell: 19.6

---

Record 2
La3Ho6TmTh2 | PBE | optimized geometry

Cell lengths 6.2084, 6.2084, 11.8203 Å; angles 95.03, 95.03, 119.98 degrees
Fractional positions:
La (0.0000, 0.0000, 0.0000)
La (0.3341, 0.6659, 0.0000)
La (0.6659, 0.3341, 0.0000)
Ho (0.0827, 0.4190, 0.2569)
Ho (0.2446, 0.2446, 0.7431)
Ho (0.4190, 0.0827, 0.2569)
Ho (0.5810, 0.9173, 0.7431)
Ho (0.7554, 0.7554, 0.2569)
Ho (0.9173, 0.5810, 0.7431)
Tm (0.5000, 0.5000, 0.5000)
Th (0.1666, 0.8334, 0.5000)
Th (0.8334, 0.1666, 0.5000)

Computed properties:
Energy relative to the elements in eV per atom: 0.018
Total DFT energy (no corrections) in eV/atom: -5.112
Magnetization in μB/cell: 0.00
Density of states at the Fermi level in states/eV per cell: 15.5